Compound: Pr2DyYTl2
Source: Alexandria
Functional: PBE
Structure: optimized geometry

abc: 5.1697 10.2765 6.9200
angles: 90.00 90.00 90.00
Space group Pmc2_1 (No. 26)
Symmetry-distinct sites (fractional):
Pr (0.0000, 0.0442, 0.0000) [2 per cell]
Pr (0.5000, 0.1879, 0.2655) [2 per cell]
Dy (0.0000, 0.3159, 0.6162) [2 per cell]
Y (0.5000, 0.4581, 0.8976) [2 per cell]
Tl (0.0000, 0.3772, 0.1545) [2 per cell]
Tl (0.5000, 0.1459, 0.7375) [2 per cell]

Calculated values
formation energy	-26.8	kJ per mole of atoms
crystal system	orthorhombic